6
Lattice="2.9458 0.0000 0.0000 -1.4729 2.5512 0.0000 0.0000 0.0000 13.3713" Properties=species:S:1:pos:R:3 comment="TiCrF (PBE with a Hubbard U, relaxed)" sg="P-6m2 (187)" m_tot_mub_per_atom=1.2438 final_energy_ev_per_atom=-6.689 pbc="T T T"
F 1.4729 0.2846 3.5672
F 1.4729 0.2846 9.8041
Cr 1.4729 0.2832 0.0000
Cr 1.4729 0.2780 6.6857
Ti 0.0000 1.1354 2.2559
Ti 0.0000 1.1354 11.1154